# 1
A plane-wave DFT calculation with PBE was carried out for a relaxed NpRhSe crystal.

Cell lengths 3.3389, 3.4442, 12.4524 Å; angles 108.58, 103.84, 63.04 degrees
Last column: nearest neighbours and their distance in Å.
Positions (direct):
Np1 0.8816 0.6536 0.1437  2 Np 2.43, 1 Rh 2.64
Se1 0.5737 0.3174 0.8420  3 Rh 2.41-2.48
Se2 0.9059 0.5308 0.5914  3 Rh 2.42-2.48
Rh1 0.5264 0.0679 0.4682  3 Se 2.42-2.48, 1 Np 2.64
Np2 0.9469 0.2930 0.2898  2 Np 2.43, 1 Rh 2.64
Rh2 0.3034 0.0897 0.9646  3 Se 2.41-2.48, 1 Np 2.64

Values from the calculation:
Formation energy (no corrections) (eV per atom): -0.139
Crystal system: triclinic
D(E_F) (states/eV per cell): 8.40
Total magnetic moment (μB per cell): 0.00
Energy (eV/atom): -8.06

# 2
A plane-wave DFT calculation with PBE was carried out for a relaxed SrSn3P crystal.

Cell lengths 5.9573, 5.9573, 5.9573 Å; angles 90.00, 90.00, 90.00 degrees
Last column: nearest neighbours and their distance in Å.
Positions (direct):
Sn1 0.5000 0.0000 0.0000  2 Sr 2.98
Sn2 0.0000 0.0000 0.5000  2 Sr 2.98
Sn3 0.0000 0.5000 0.0000  2 Sr 2.98
P1 0.5000 0.5000 0.5000  12 Sn 4.21
Sr1 0.0000 0.0000 0.0000  6 Sn 2.98

Values from the calculation:
Crystal system: cubic
D(E_F) (states/eV per cell): 7.19
E_form (meV/atom): 1363
Total magnetic moment (μB per cell): 0.00
Offset from the most stable computed form (eV per atom): 1.340
Energy (eV/atom): -2.46